Entry 1:
Computed, not measured: a relaxed structure of KAgO2 at the GGA-PBEsol level of DFT.

Values from the calculation:
Energy, eV per cell: -17.729
Total magnetic moment, μB per cell: 0.000
Energy relative to the elements, uncorrected, eV per atom: -0.696

Lattice parameters (Å, degrees): 2.978 3.592 5.809 90.00 90.00 90.00
Element x y z (fractional)
K 0.000 0.500 0.000
Ag 0.000 0.000 0.500
O 0.500 0.000 0.730
O 0.500 0.000 0.270

Entry 2:
Computed, not measured: a relaxed structure of K5AgS6O9 at the GGA-PBEsol level of DFT.

Values from the calculation:
Energy, eV per cell: -450.954
Total magnetic moment, μB per cell: 0.000
Energy relative to the elements, uncorrected, eV per atom: -1.439

Lattice parameters (Å, degrees): 10.645 10.764 13.915 90.00 93.26 90.00
Element x y z (fractional)
S 0.958 0.477 0.115
S 0.881 0.170 0.953
S 0.720 0.093 0.999
O 0.263 0.456 0.503
S 0.280 0.907 0.001
O 0.851 0.778 0.613
K 0.543 0.915 0.840
S 0.119 0.830 0.047
S 0.123 0.122 0.316
O 0.496 0.880 0.275
S 0.641 0.071 0.373
O 0.504 0.120 0.725
O 0.702 0.134 0.099
K 0.402 0.244 0.398
Ag 0.148 0.905 0.547
O 0.613 0.370 0.433
S 0.119 0.670 0.547
O 0.722 0.645 0.773
K 0.134 0.265 0.577
O 0.031 0.162 0.238
S 0.877 0.878 0.684
O 0.387 0.870 0.067
O 0.278 0.145 0.727
O 0.702 0.366 0.599
S 0.958 0.023 0.615
Ag 0.148 0.595 0.047
O 0.619 0.690 0.919
K 0.457 0.085 0.160
O 0.263 0.044 0.003
S 0.618 0.891 0.333
K 0.866 0.765 0.923
O 0.759 0.575 0.223
K 0.457 0.415 0.660
S 0.881 0.330 0.453
K 0.251 0.687 0.768
O 0.031 0.338 0.738
K 0.598 0.744 0.102
S 0.720 0.407 0.499
S 0.042 0.523 0.885
O 0.381 0.190 0.581
K 0.749 0.187 0.732
K 0.107 0.461 0.327
S 0.641 0.429 0.873
K 0.749 0.313 0.232
O 0.149 0.222 0.387
S 0.280 0.593 0.501
S 0.382 0.109 0.667
S 0.042 0.977 0.385
Ag 0.852 0.095 0.453
K 0.893 0.539 0.673
K 0.402 0.256 0.898
Ag 0.852 0.405 0.953
K 0.107 0.039 0.827
S 0.359 0.929 0.627
O 0.619 0.810 0.419
O 0.496 0.620 0.775
S 0.877 0.622 0.184
K 0.251 0.813 0.268
O 0.613 0.130 0.933
O 0.969 0.662 0.262
O 0.298 0.866 0.901
O 0.241 0.425 0.777
K 0.598 0.756 0.602
K 0.893 0.961 0.173
O 0.241 0.075 0.277
O 0.381 0.310 0.081
O 0.504 0.380 0.225
S 0.359 0.571 0.127
S 0.123 0.378 0.816
K 0.134 0.235 0.077
S 0.382 0.391 0.167
O 0.278 0.355 0.227
O 0.722 0.855 0.273
O 0.759 0.925 0.723
O 0.851 0.722 0.113
O 0.298 0.634 0.401
O 0.737 0.544 0.497
O 0.149 0.278 0.887
O 0.969 0.838 0.762
K 0.543 0.585 0.340
K 0.866 0.735 0.423
O 0.387 0.630 0.567
S 0.618 0.609 0.833
O 0.737 0.956 0.997

Entry 3:
Computed, not measured: a relaxed structure of KAgOs at the GGA-PBEsol level of DFT.

Values from the calculation:
Energy of formation, eV/atom: 0.996
Energy, eV per cell: -13.673
Total magnetic moment, μB per cell: 0.050

Lattice parameters (Å, degrees): 2.612 4.516 6.311 110.96 101.94 90.00
Element x y z (fractional)
Ag 0.943 0.943 0.886
K 0.668 0.668 0.335
Os 0.389 0.389 0.778

Entry 4:
Computed, not measured: a relaxed structure of K2AgOs2 at the GGA-PBEsol level of DFT.

Values from the calculation:
Energy of formation, eV/atom: 1.830
Energy, eV per cell: -20.862
Total magnetic moment, μB per cell: 3.685

Lattice parameters (Å, degrees): 5.868 5.868 5.868 101.42 113.64 113.64
Site moments in Bohr magnetons follow the coordinates.
Element x y z (fractional)
K 0.500 0.250 0.750  0.02
K 0.500 0.750 0.250  0.02
Ag 0.000 0.000 0.000  0.06
Os 0.000 0.648 0.648  1.44
Os 0.000 0.352 0.352  1.44